Entry 1:
5
Lattice="5.554 0.000 0.000 0.000 5.554 0.000 0.000 0.000 5.562" Properties=species:S:1:pos:R:3 comment="KCdAs2Se (GGA-PBE, relaxed)" raw_formation_energy_ev_per_atom=1.227 relative_energy_mev_per_atom=962 mass_density_g_cm3=3.7 magnetic_moment_mub_per_atom=0.13 pbc="T T T"
As 0.000 2.777 0.000
As 2.777 0.000 0.000
K 0.000 0.000 0.000
Se 0.000 0.000 2.781
Cd 2.777 2.777 2.781

***

Entry 2:
12
Lattice="3.979 0.000 0.000 0.000 8.085 0.226 -1.990 -2.396 8.440" Properties=species:S:1:pos:R:3 comment="Er6SbSe2S3 (GGA-PBE, relaxed)" raw_formation_energy_ev_per_atom=-1.718 mass_density_g_cm3=8.4 magnetic_moment_mub_per_atom=0.00 pbc="T T T"
Er 0.000 5.987 5.707
Er 1.990 4.044 2.848
Er 1.990 -0.299 2.959
Er 1.990 -0.177 8.419
Er 0.000 5.866 0.247
Er 0.000 1.645 5.818
Sb 1.990 0.000 0.000
Se 1.990 3.795 5.740
Se 0.000 1.894 2.926
S 1.990 4.042 0.113
S 1.990 -0.214 5.681
S 0.000 5.902 2.985

***

Entry 3:
20
Lattice="-20.318 -6.493 11.104 0.694 -4.487 -1.354 7.589 1.436 -0.867" Properties=species:S:1:pos:R:3 comment="BeHgPt3 (GGA-PBE, relaxed)" formation_enthalpy_0k_ev_per_atom=-0.20 relative_energy_mev_per_atom=107 mass_density_g_cm3=15.8 magnetic_moment_mub_per_atom=0.00 pbc="T T T"
Be -5.339 -5.861 4.323
Be -6.696 -3.684 4.559
Be -13.067 -6.173 9.689
Be 1.032 -3.372 -0.807
Hg 3.382 0.010 0.813
Hg -15.417 -9.555 8.070
Hg -1.736 -3.828 2.616
Hg -10.299 -5.717 6.267
Pt 1.853 -4.781 1.172
Pt -13.888 -4.764 7.710
Pt 0.332 -2.524 1.204
Pt -12.367 -7.021 7.679
Pt -4.781 -3.945 3.269
Pt -7.254 -5.600 5.614
Pt -0.621 -4.808 -0.029
Pt -11.415 -4.737 8.911
Pt -3.208 -6.201 3.153
Pt -8.827 -3.344 5.730
Pt 5.404 -1.176 -0.798
Pt -17.439 -8.369 9.680

***

Entry 4:
8
Lattice="-4.497 1.366 1.754 -1.635 -4.714 -0.522 3.004 -2.073 9.317" Properties=species:S:1:pos:R:3 comment="CeDy6Y (GGA-PBE, relaxed)" formation_enthalpy_0k_ev_per_atom=0.05 relative_energy_mev_per_atom=0 mass_density_g_cm3=7.9 magnetic_moment_mub_per_atom=0.12 pbc="T T T"
Ce 1.502 -1.036 4.658
Dy -3.066 -1.674 0.616
Dy -1.564 -2.711 5.275
Dy -1.491 0.160 3.226
Dy -0.002 -0.867 7.845
Dy -0.060 -2.880 2.088
Dy 1.429 -3.907 6.707
Y 0.000 0.000 0.000

***

Entry 5:
18
Lattice="8.700 -0.077 -0.194 -3.368 8.022 0.194 -3.023 -3.733 7.257" Properties=species:S:1:pos:R:3 comment="Sm6SnIr2 (GGA-PBE, relaxed)" formation_enthalpy_0k_ev_per_atom=-0.59 mass_density_g_cm3=9.3 magnetic_moment_mub_per_atom=0.00 pbc="T T T"
Sm -0.267 2.602 5.974
Sm 2.576 1.610 1.283
Sm -2.509 -0.739 5.974
Sm 4.819 4.951 1.283
Sm 2.664 3.974 4.068
Sm -0.354 0.238 3.188
Sm -3.733 2.505 7.127
Sm 6.043 1.706 0.129
Sm 2.765 0.326 4.794
Sm -0.456 3.886 2.463
Sm -2.621 5.340 4.987
Sm 4.931 -1.128 2.269
Sn -3.195 2.145 3.725
Sn 0.000 0.000 0.000
Ir 0.478 -0.321 6.284
Ir 1.832 4.533 0.973
Ir 3.779 -2.536 4.702
Ir 1.898 -1.274 2.361

***

Entry 6:
10
Lattice="-2.164 3.860 -3.279 -4.882 -2.185 -3.975 -8.362 2.024 3.277" Properties=species:S:1:pos:R:3 comment="Sm3TlCo (GGA-PBE, relaxed)" formation_enthalpy_0k_ev_per_atom=-0.18 relative_energy_mev_per_atom=0 mass_density_g_cm3=8.5 magnetic_moment_mub_per_atom=0.00 pbc="T T T"
Sm -8.596 1.720 -6.178
Sm -6.813 1.979 2.201
Sm -5.325 1.128 -4.408
Sm -10.084 2.570 0.430
Sm -10.500 3.154 -3.232
Sm -4.909 0.544 -0.745
Tl -8.344 0.734 -2.879
Tl -7.065 2.965 -1.098
Co -4.075 -0.810 -2.888
Co -11.334 4.508 -1.089

***

Entry 7:
5
Lattice="5.889 0.000 0.000 0.000 5.392 0.000 0.000 0.000 5.889" Properties=species:S:1:pos:R:3 comment="RbNbCuSe2 (GGA-PBE, relaxed)" raw_formation_energy_ev_per_atom=1.987 mass_density_g_cm3=3.6 magnetic_moment_mub_per_atom=0.57 pbc="T T T"
Nb 0.000 2.696 0.000
Cu 2.944 2.696 2.944
Se 0.000 0.000 2.944
Se 2.944 0.000 0.000
Rb 0.000 0.000 0.000

***

Entry 8:
12
Lattice="5.201 0.000 0.000 2.601 4.504 0.000 2.601 1.501 8.288" Properties=species:S:1:pos:R:3 comment="PmDy2Cu9 (GGA-PBE, relaxed)" formation_enthalpy_0k_ev_per_atom=-0.19 mass_density_g_cm3=8.9 magnetic_moment_mub_per_atom=0.00 pbc="T T T"
Pm 0.000 0.000 0.000
Dy 7.802 4.504 3.552
Dy 2.601 1.501 4.736
Cu 7.802 4.504 8.260
Cu 2.601 1.501 0.029
Cu 5.201 3.003 4.144
Cu 3.905 2.254 2.049
Cu 6.497 2.254 2.049
Cu 5.201 4.500 2.049
Cu 6.497 3.751 6.239
Cu 5.201 1.506 6.239
Cu 3.905 3.751 6.239

***

Entry 9:
4
Lattice="5.088 0.000 0.000 2.544 4.407 0.000 2.544 1.469 4.155" Properties=species:S:1:pos:R:3 comment="EuMg2Zn (GGA-PBE, relaxed)" formation_enthalpy_0k_ev_per_atom=-0.04 mass_density_g_cm3=4.7 magnetic_moment_mub_per_atom=1.75 pbc="T T T"
Eu 0.000 0.000 0.000
Zn 5.088 2.938 2.077
Mg 2.544 1.469 1.039
Mg 7.633 4.407 3.116

***

Entry 10:
4
Lattice="-3.890 1.728 0.194 -3.236 -2.219 1.660 -1.317 1.705 5.177" Properties=species:S:1:pos:R:3 comment="CeOs2W (GGA-PBE, relaxed)" formation_enthalpy_0k_ev_per_atom=0.21 relative_energy_mev_per_atom=243 mass_density_g_cm3=14.8 magnetic_moment_mub_per_atom=0.00 pbc="T T T"
Os -2.209 0.131 1.337
Os -6.235 1.083 5.695
Ce -4.222 0.607 3.516
W 0.000 0.000 0.000

***

Entry 11:
5
Lattice="5.243 0.000 0.000 0.000 4.974 0.000 0.000 0.000 5.243" Properties=species:S:1:pos:R:3 comment="RbTi2AlZn (GGA-PBE, relaxed)" formation_enthalpy_0k_ev_per_atom=0.93 mass_density_g_cm3=3.3 magnetic_moment_mub_per_atom=1.06 pbc="T T T"
Zn 0.000 2.487 0.000
Al 0.000 0.000 0.000
Rb 2.622 2.487 2.622
Ti 0.000 0.000 2.622
Ti 2.622 0.000 0.000

***

Entry 12:
8
Lattice="-4.233 -0.310 -1.515 -2.182 -3.388 6.791 -2.217 5.567 5.056" Properties=species:S:1:pos:R:3 comment="CaNdEr2Bi4 (GGA-PBE, relaxed)" formation_enthalpy_0k_ev_per_atom=-0.80 mass_density_g_cm3=8.5 magnetic_moment_mub_per_atom=0.00 pbc="T T T"
Ca -3.207 -1.849 2.638
Nd -2.199 1.090 5.923
Er -2.217 5.567 5.056
Er -3.225 2.629 1.771
Bi -3.316 1.572 8.945
Bi -5.316 0.297 1.388
Bi -4.322 -1.364 5.653
Bi -4.310 3.233 4.679

***

Entry 13:
6
Lattice="-4.147 -1.628 0.464 3.499 -2.792 -0.142 0.631 0.427 7.138" Properties=species:S:1:pos:R:3 comment="TbHoAl2Zn2 (GGA-PBE, relaxed)" formation_enthalpy_0k_ev_per_atom=-0.45 mass_density_g_cm3=6.8 magnetic_moment_mub_per_atom=0.00 pbc="T T T"
Tb 0.315 0.213 3.569
Ho 0.000 0.000 0.000
Al 1.428 -2.081 5.459
Al -1.444 -1.912 2.001
Zn 1.102 -2.301 1.781
Zn -1.119 -1.692 5.679

***

Entry 14:
18
Lattice="-0.237 1.938 -3.432 3.020 -6.092 -3.648 -12.407 -4.981 -1.955" Properties=species:S:1:pos:R:3 comment="PmMgCu (GGA-PBE, relaxed)" formation_enthalpy_0k_ev_per_atom=-0.18 relative_energy_mev_per_atom=0 mass_density_g_cm3=5.6 magnetic_moment_mub_per_atom=0.00 pbc="T T T"
Pm -11.177 -6.170 -2.711
Pm 1.790 -4.903 -2.892
Pm -6.042 -4.109 -1.902
Pm -3.345 -6.964 -3.701
Pm -2.668 -2.120 -1.013
Pm -6.719 -8.953 -4.591
Mg -0.365 -2.305 -3.547
Mg -9.259 -6.831 -5.488
Mg -3.450 -3.543 -4.033
Mg -6.174 -5.592 -5.002
Mg -0.826 -5.106 -5.096
Mg -8.798 -4.030 -3.939
Cu -1.105 0.190 -2.087
Cu -8.519 -9.326 -6.948
Cu -5.019 -1.381 -2.704
Cu -4.605 -7.754 -6.331
Cu -1.435 -4.608 -2.502
Cu -7.952 -6.465 -3.101

***

Entry 15:
5
Lattice="-0.622 5.313 0.375 -4.195 -0.321 -2.406 -2.613 -0.633 4.640" Properties=species:S:1:pos:R:3 comment="HfTcHg2Te (GGA-PBE, relaxed)" raw_formation_energy_ev_per_atom=1.434 mass_density_g_cm3=9.6 magnetic_moment_mub_per_atom=0.00 pbc="T T T"
Te 0.000 0.000 0.000
Hf -3.715 2.180 1.304
Hg -1.307 -0.317 2.320
Hg -0.311 2.657 0.188
Tc -2.098 -0.160 -1.203

***

Entry 16:
4
Lattice="3.003 0.000 0.000 0.000 5.091 -0.052 0.000 3.775 4.785" Properties=species:S:1:pos:R:3 comment="InW2Br (GGA-PBE, relaxed)" raw_formation_energy_ev_per_atom=1.055 relative_energy_mev_per_atom=724 mass_density_g_cm3=12.7 magnetic_moment_mub_per_atom=0.00 pbc="T T T"
Br 1.502 4.433 2.367
W 0.000 0.000 0.000
W 1.502 2.545 -0.026
In 0.000 1.887 2.393

***

Entry 17:
4
Lattice="-4.098 -2.402 -0.392 -0.131 -4.664 0.973 -3.216 -0.604 8.346" Properties=species:S:1:pos:R:3 comment="Ba2CdAu (GGA-PBE, relaxed)" formation_enthalpy_0k_ev_per_atom=-0.43 mass_density_g_cm3=5.8 magnetic_moment_mub_per_atom=0.00 pbc="T T T"
Ba -2.820 -0.988 6.559
Ba -1.803 -1.974 1.969
Cd -3.721 -3.836 4.458
Au -2.823 -4.707 0.405

***

Entry 18:
3
Lattice="-2.780 -2.955 -0.436 2.597 -0.311 4.644 -2.147 1.563 3.098" Properties=species:S:1:pos:R:3 comment="PmSbPt (GGA-PBE, relaxed)" raw_formation_energy_ev_per_atom=-0.661 relative_energy_mev_per_atom=525 mass_density_g_cm3=10.3 magnetic_moment_mub_per_atom=0.00 pbc="T T T"
Pt -2.004 1.402 3.279
Pm -0.360 -0.451 5.353
Sb -1.429 -1.862 2.636

***

Entry 19:
20
Lattice="-7.298 5.121 -3.993 -4.624 -2.489 7.068 5.379 6.919 0.852" Properties=species:S:1:pos:R:3 comment="Pm2SmY6Ho (GGA-PBE, relaxed)" formation_enthalpy_0k_ev_per_atom=0.11 mass_density_g_cm3=5.7 magnetic_moment_mub_per_atom=0.00 pbc="T T T"
Pm -3.253 5.209 4.476
Pm -0.641 0.841 2.069
Pm -3.290 4.343 -0.549
Pm -5.902 8.710 1.858
Sm -6.256 -1.027 5.950
Sm -0.287 10.579 -2.023
Y 3.026 5.140 1.270
Y 0.308 7.708 0.783
Y -9.569 4.411 2.657
Y -6.851 1.843 3.144
Y -4.537 2.125 6.047
Y -3.903 -0.350 3.323
Y -2.006 7.427 -2.120
Y -2.640 9.902 0.604
Y -1.462 2.269 4.929
Y -3.538 2.742 2.303
Y -5.081 7.283 -1.002
Y -3.005 6.810 1.624
Ho -0.518 4.369 2.384
Ho -6.025 5.182 1.543

***

Entry 20:
4
Lattice="4.741 0.000 0.000 0.000 3.297 0.012 0.000 1.588 5.370" Properties=species:S:1:pos:R:3 comment="YMg2Rh (GGA-PBE, relaxed)" formation_enthalpy_0k_ev_per_atom=-0.27 mass_density_g_cm3=4.8 magnetic_moment_mub_per_atom=0.00 pbc="T T T"
Mg 0.000 0.368 0.189
Mg 0.000 2.075 2.502
Rh 2.370 1.221 1.346
Y 2.370 3.664 4.037